{
  "formula": "NaNiO2",
  "functional": "PBE with a Hubbard U",
  "state": "relaxed",
  "rho_g_cm3": 4.58,
  "final_energy_ev_per_atom": -4.519,
  "lattice": [[3.041, 0.022, 0.020], [1.706, 10.994, -0.014], [-0.160, 1.174, 4.930]],
  "species": ["O", "O", "O", "Ni", "O", "O", "Na", "O", "Na", "O", "Ni", "Na", "Na", "Ni", "Ni", "O"],
  "frac_coords": [[0.930, 0.098, 0.632], [0.511, 0.901, 0.876], [0.271, 0.403, 0.978], [0.750, 0.500, 0.750], [0.769, 0.403, 0.478], [0.231, 0.597, 0.522], [0.359, 0.251, 0.717], [0.070, 0.902, 0.368], [0.641, 0.749, 0.283], [0.729, 0.597, 0.022], [0.250, 0.500, 0.250], [0.878, 0.251, 0.215], [0.122, 0.749, 0.785], [0.500, 0.000, 0.500], [0.000, 0.000, 0.000], [0.489, 0.099, 0.124]]
}